A geometry-optimized Sm3Zn3Pd2Pt structure. Source: OQMD via LeMat-Bulk, functional GGA-PBE.

Computed properties:
total moment	0.044	μB/f.u.
calculated total energy	-41.33	eV/f.u.
symmetry	P-62m, No. 189
calculated formation energy	-777	meV/atom

a = 7.360 Å, b = 7.360 Å, c = 3.960 Å
α = 90.00°, β = 90.00°, γ = 120.00°
Fractional positions:
Sm: 0.000 0.596 0.000
Sm: 0.404 0.404 0.000
Sm: 0.596 0.000 0.000
Zn: 0.000 0.246 0.500
Zn: 0.246 0.000 0.500
Zn: 0.754 0.754 0.500
Pd: 0.333 0.667 0.500
Pd: 0.667 0.333 0.500
Pt: 0.000 0.000 0.000